(1)
The following is a DFT calculation (PBE-GGA) of a relaxed structure of Ac3Te5Se12.

Values from the calculation:
SG: No. 230

a b c (Å): 15.1639 15.1639 15.1639
angles (deg): 109.47 109.47 109.47
Fractional positions:
Ac  0.1250  0.2500  0.3750
Ac  0.1250  0.3750  0.7500
Ac  0.2500  0.3750  0.1250
Ac  0.2500  0.8750  0.6250
Ac  0.3750  0.1250  0.2500
Ac  0.3750  0.7500  0.1250
Ac  0.6250  0.2500  0.8750
Ac  0.6250  0.8750  0.7500
Ac  0.7500  0.1250  0.3750
Ac  0.7500  0.6250  0.8750
Ac  0.8750  0.6250  0.2500
Ac  0.8750  0.7500  0.6250
Te  0.0000  0.0000  0.0000
Te  0.0000  0.0000  0.5000
Te  0.0000  0.5000  0.0000
Te  0.0000  0.5000  0.5000
Te  0.1250  0.7500  0.8750
Te  0.1250  0.8750  0.2500
Te  0.2500  0.1250  0.8750
Te  0.2500  0.6250  0.3750
Te  0.3750  0.2500  0.6250
Te  0.3750  0.6250  0.7500
Te  0.5000  0.0000  0.0000
Te  0.5000  0.0000  0.5000
Te  0.5000  0.5000  0.0000
Te  0.5000  0.5000  0.5000
Te  0.6250  0.3750  0.2500
Te  0.6250  0.7500  0.3750
Te  0.7500  0.3750  0.6250
Te  0.7500  0.8750  0.1250
Te  0.8750  0.1250  0.7500
Te  0.8750  0.2500  0.1250
Se  0.0474  0.2135  0.1353
Se  0.0474  0.3339  0.9121
Se  0.0782  0.7135  0.6661
Se  0.0782  0.8647  0.4121
Se  0.0879  0.6353  0.4218
Se  0.0879  0.9526  0.6661
Se  0.1353  0.0474  0.2135
Se  0.1353  0.5879  0.9218
Se  0.1661  0.2135  0.5782
Se  0.1661  0.4526  0.5879
Se  0.2135  0.1353  0.0474
Se  0.2135  0.5782  0.1661
Se  0.2865  0.3339  0.9218
Se  0.2865  0.4526  0.3647
Se  0.3339  0.9121  0.0474
Se  0.3339  0.9218  0.2865
Se  0.3647  0.2865  0.4526
Se  0.3647  0.5782  0.9121
Se  0.4121  0.0782  0.8647
Se  0.4121  0.8339  0.5474
Se  0.4218  0.0879  0.6353
Se  0.4218  0.8339  0.7865
Se  0.4526  0.3647  0.2865
Se  0.4526  0.5879  0.1661
Se  0.5474  0.4121  0.8339
Se  0.5474  0.6353  0.7135
Se  0.5782  0.1661  0.2135
Se  0.5782  0.9121  0.3647
Se  0.5879  0.1661  0.4526
Se  0.5879  0.9218  0.1353
Se  0.6353  0.4218  0.0879
Se  0.6353  0.7135  0.5474
Se  0.6661  0.0782  0.7135
Se  0.6661  0.0879  0.9526
Se  0.7135  0.5474  0.6353
Se  0.7135  0.6661  0.0782
Se  0.7865  0.4218  0.8339
Se  0.7865  0.8647  0.9526
Se  0.8339  0.5474  0.4121
Se  0.8339  0.7865  0.4218
Se  0.8647  0.4121  0.0782
Se  0.8647  0.9526  0.7865
Se  0.9121  0.0474  0.3339
Se  0.9121  0.3647  0.5782
Se  0.9218  0.1353  0.5879
Se  0.9218  0.2865  0.3339
Se  0.9526  0.6661  0.0879
Se  0.9526  0.7865  0.8647

(2)
The following is a DFT calculation (PBE-GGA) of a relaxed structure of AcTeSe4.

Values from the calculation:
SG: No. 11

a b c (Å): 6.4939 10.3342 6.5154
angles (deg): 90.00 98.97 90.00
Fractional positions:
Ac  0.1695  0.2500  0.1230
Ac  0.8305  0.7500  0.8770
Te  0.3387  0.7500  0.4106
Te  0.6613  0.2500  0.5894
Se  0.0961  0.5510  0.1679
Se  0.0961  0.9490  0.1679
Se  0.2777  0.2500  0.6197
Se  0.3403  0.7500  0.8026
Se  0.6597  0.2500  0.1974
Se  0.7223  0.7500  0.3803
Se  0.9039  0.0510  0.8321
Se  0.9039  0.4490  0.8321

(3)
The following is a DFT calculation (PBE-GGA) of a relaxed structure of Ac5TeSe4.

Values from the calculation:
SG: No. 12

a b c (Å): 11.9684 11.9684 6.4116
angles (deg): 105.29 105.29 21.70
Fractional positions:
Ac  0.0000  0.0000  0.0000
Ac  0.1988  0.1988  0.1988
Ac  0.3930  0.3930  0.3930
Ac  0.6070  0.6070  0.6070
Ac  0.8012  0.8012  0.8012
Te  0.0000  0.0000  0.5000
Se  0.2037  0.2037  0.7036
Se  0.4000  0.4000  0.9000
Se  0.6000  0.6000  0.1000
Se  0.7963  0.7963  0.2964

(4)
The following is a DFT calculation (PBE-GGA) of a relaxed structure of Ac4Te2Se3.

Values from the calculation:
SG: No. 64

a b c (Å): 9.4802 9.4802 8.3155
angles (deg): 90.00 90.00 126.15
Fractional positions:
Ac  0.1994  0.8006  0.9575
Ac  0.2211  0.2789  0.7500
Ac  0.2789  0.2211  0.2500
Ac  0.3006  0.6994  0.4575
Ac  0.6994  0.3006  0.5425
Ac  0.7211  0.7789  0.7500
Ac  0.7789  0.7211  0.2500
Ac  0.8006  0.1994  0.0425
Te  0.1054  0.8946  0.5769
Te  0.3946  0.6054  0.0769
Te  0.6054  0.3946  0.9231
Te  0.8946  0.1054  0.4231
Se  0.0000  0.0000  0.0000
Se  0.0385  0.4615  0.7500
Se  0.4615  0.0385  0.2500
Se  0.5000  0.5000  0.5000
Se  0.5385  0.9615  0.7500
Se  0.9615  0.5385  0.2500

Number 1: formation energy from raw total energies -0.58 eV/atom, E -326.059 eV for the cell shown. Number 2: formation energy from raw total energies -0.72 eV/atom, E -51.037 eV for the cell shown. Number 3: formation energy from raw total energies -1.77 eV/atom, E -55.341 eV for the cell shown. Number 4: formation energy from raw total energies -1.73 eV/atom, E -97.432 eV for the cell shown.